{"formula": "Rb2PmW3O12", "functional": "PBE with a Hubbard U", "state": "relaxed", "lattice": [[3.770, 2.177, 6.361], [-3.770, 2.177, 6.361], [0.000, -4.354, 6.361]], "species": ["Rb", "Rb", "Pm", "W", "W", "W", "O", "O", "O", "O", "O", "O", "O", "O", "O", "O", "O", "O"], "fractional_positions": [[0.134, 0.134, 0.134], [0.866, 0.866, 0.866], [0.500, 0.500, 0.500], [0.000, 0.500, 0.500], [0.500, 0.000, 0.500], [0.500, 0.500, 0.000], [0.133, 0.582, 0.582], [0.203, 0.203, 0.569], [0.203, 0.569, 0.203], [0.418, 0.418, 0.867], [0.418, 0.867, 0.418], [0.431, 0.797, 0.797], [0.569, 0.203, 0.203], [0.582, 0.133, 0.582], [0.582, 0.582, 0.133], [0.797, 0.431, 0.797], [0.797, 0.797, 0.431], [0.867, 0.418, 0.418]], "e_tot_ev_per_cell": -126.45, "volume_a3_per_cell": 313.23}